# Dy2ZnGe4Pt3, relaxed, DFT PBE
# crystal system = tetragonal
# DFT formation energy = -7.982 eV per formula unit
# electronic total energy = -5.51 eV per atom
# D(E_F) = 2.9 states/eV/f.u.
data_Dy2ZnGe4Pt3
_chemical_formula_sum 'Dy2 Zn1 Ge4 Pt3'
_symmetry_space_group_name_H-M 'P -4 m 2'
_symmetry_Int_Tables_number 115
_cell_length_a 4.154
_cell_length_b 4.154
_cell_length_c 10.847
_cell_angle_alpha 90.00
_cell_angle_beta 90.00
_cell_angle_gamma 90.00
loop_
_symmetry_equiv_pos_as_xyz
'x,y,z'
'y,-x,-z'
'-x,-y,z'
'-y,x,-z'
'-x,y,z'
'-y,-x,-z'
'x,-y,z'
'y,x,-z'
loop_
_atom_site_label
_atom_site_fract_x
_atom_site_fract_y
_atom_site_fract_z
Dy1 0.000 0.500 0.241
Zn1 0.500 0.500 0.000
Ge1 0.000 0.000 0.500
Ge2 0.000 0.500 0.860
Ge3 0.500 0.500 0.500
Pt1 0.000 0.000 0.000
Pt2 0.000 0.500 0.635